[1]
Below is a relaxed structure of RuSCl2F, with properties calculated at the PBE-GGA level.

Lattice parameters (Å, degrees): 4.7860 4.7860 4.4071 90.00 90.00 90.00
Sites, in units of the cell vectors:
Ru (0.0000, 0.0000, 0.0000)
S (0.0000, 0.0000, 0.5000)
Cl (0.0000, 0.5000, 0.0000)
Cl (0.5000, 0.0000, 0.0000)
F (0.5000, 0.5000, 0.5000)

Output
distance to the lowest polymorph of the same formula: 0 meV per atom
magnetic moment: 0.025 μB per formula unit
SG: P4/mmm (123)

***

[2]
Below is a relaxed structure of RuS2ClF, with properties calculated at the PBE-GGA level.

Lattice parameters (Å, degrees): 4.4913 4.4913 4.8673 90.00 90.00 90.00
Sites, in units of the cell vectors:
Ru (0.0000, 0.0000, 0.0000)
S (0.0000, 0.5000, 0.0000)
S (0.5000, 0.0000, 0.0000)
Cl (0.0000, 0.0000, 0.5000)
F (0.5000, 0.5000, 0.5000)

Output
distance to the lowest polymorph of the same formula: 0 meV per atom
magnetic moment: 0.000 μB per formula unit
SG: P4/mmm (123)

***

[3]
Below is a relaxed structure of RuS2ClF, with properties calculated at the PBE-GGA level.

Lattice parameters (Å, degrees): 4.1219 4.1219 5.4608 90.00 90.00 90.00
Sites, in units of the cell vectors:
Ru (0.0000, 0.0000, 0.0000)
S (0.0000, 0.5000, 0.5000)
S (0.5000, 0.0000, 0.5000)
Cl (0.5000, 0.5000, 0.0000)
F (0.5000, 0.5000, 0.5000)

Output
distance to the lowest polymorph of the same formula: 811 meV per atom
magnetic moment: 4.177 μB per formula unit
SG: P4/mmm (123)

***

[4]
Below is a relaxed structure of RuSCl2F, with properties calculated at the PBE-GGA level.

Lattice parameters (Å, degrees): 5.2935 5.2935 3.6108 90.00 90.00 90.00
Sites, in units of the cell vectors:
Ru (0.0000, 0.0000, 0.0000)
S (0.5000, 0.5000, 0.0000)
Cl (0.0000, 0.5000, 0.5000)
Cl (0.5000, 0.0000, 0.5000)
F (0.5000, 0.5000, 0.5000)

Output
distance to the lowest polymorph of the same formula: 760 meV per atom
magnetic moment: 4.952 μB per formula unit
SG: P4/mmm (123)

***

[5]
Below is a relaxed structure of Tl2RuCl2F4, with properties calculated at the PBE-GGA level.

Lattice parameters (Å, degrees): 6.4555 6.4555 6.4555 117.78 117.78 93.89
Sites, in units of the cell vectors:
Tl (0.2500, 0.7500, 0.5000)
Tl (0.7500, 0.2500, 0.5000)
Ru (0.0000, 0.0000, 0.0000)
Cl (0.2659, 0.2659, 0.0000)
Cl (0.7341, 0.7341, 0.0000)
F (0.2071, 0.2071, 0.4141)
F (0.2071, 0.7929, 0.0000)
F (0.7929, 0.2071, 0.0000)
F (0.7929, 0.7929, 0.5859)

Output
E_tot: -0.315 Ry/atom
magnetic moment: 2.000 μB per formula unit
SG: I4/mmm (139)

***

[6]
Below is a relaxed structure of Y2RuClF, with properties calculated at the PBE-GGA level.

Lattice parameters (Å, degrees): 5.2587 5.2587 4.3823 90.00 90.00 90.00
Sites, in units of the cell vectors:
Y (0.0000, 0.5000, 0.0000)
Y (0.5000, 0.0000, 0.0000)
Ru (0.0000, 0.0000, 0.0000)
Cl (0.5000, 0.5000, 0.5000)
F (0.0000, 0.0000, 0.5000)

Output
E_tot: -0.431 Ry/atom
magnetic moment: 0.000 μB per formula unit
SG: P4/mmm (123)